Version P
A plane-wave DFT calculation with PBE-GGA was carried out for crystalline NbZn2Co at its relaxed geometry.

* total moment: 0.061 μB per atom
* density: 8.349 g/cm3
* DOS at the Fermi energy: 0.68 states/eV per atom

Lattice parameters (Å, degrees): 6.0810 6.0810 6.0810 90.00 90.00 90.00
With the nearest neighbours (Å) after each atom.
Space group Fm-3m (No. 225)
Inequivalent atoms, fractional coordinates:
Nb 0.0000 0.0000 0.0000 [4 per cell]  8 Zn 2.63
Zn 0.2500 0.2500 0.2500 [8 per cell]  4 Nb 2.63, 4 Co 2.63
Co 0.0000 0.0000 0.5000 [4 per cell]  8 Zn 2.63

Version Q
A plane-wave DFT calculation with PBE-GGA was carried out for crystalline NbZn2Co at its relaxed geometry.

* total moment: 0.000 μB per atom
* density: 7.690 g/cm3
* DOS at the Fermi energy: 1.03 states/eV per atom

Lattice parameters (Å, degrees): 7.0248 7.0248 4.9475 90.00 90.00 90.00
With the nearest neighbours (Å) after each atom.
Space group I-42d (No. 122)
Inequivalent atoms, fractional coordinates:
Nb 0.0000 0.0000 0.0000 [4 per cell]  2 Co 2.47, 4 Zn 2.74
Zn 0.2145 0.2500 0.6250 [8 per cell]  2 Co 2.40, 2 Zn 2.52
Co 0.0000 0.0000 0.5000 [4 per cell]  4 Zn 2.40, 2 Nb 2.47

Out of the structures above, which one is the most stable? Solution: version P.